[1]
VASP calculation (PBE-GGA) on an optimized crystal structure of Na4Pt3.

The structure in POSCAR format:
```
Na4Pt3
1.0
5.468 0.000 0.000
-2.734 4.736 0.000
0.000 0.000 5.366
Na Pt
4 3
Cartesian
0.000 0.000 1.263
0.000 0.000 4.103
0.000 3.157 2.683
2.734 1.579 2.683
-1.367 2.368 0.000
2.734 0.000 0.000
1.367 2.368 0.000
```

* uncorrected energy: -24.89 eV for the cell shown
* symmetry: P6/mmm
* offset from the most stable computed form: 0 meV per atom
* ΔE_f: -0.21 eV/atom

***

[2]
VASP calculation (PBE-GGA) on an optimized crystal structure of TiPN3.

The structure in POSCAR format:
```
TiPN3
1.0
5.635 0.000 0.000
0.000 4.597 0.000
-0.862 0.000 5.982
Ti P N
2 2 6
Cartesian
0.900 1.149 0.457
3.873 3.448 5.525
1.070 3.448 3.778
3.702 1.149 2.204
0.162 2.708 5.168
0.162 4.187 5.168
2.153 1.149 1.750
2.620 3.448 4.232
4.610 0.410 0.814
4.610 1.889 0.814
```

* uncorrected energy: -78.23 eV for the cell shown
* symmetry: P2_1/m
* uncorrected formation energy: -0.1665 eV/atom